{
  "formula": "FeCl",
  "functional": "PBE",
  "state": "optimized geometry",
  "lattice": [[-10.373, 0.443, -7.875], [0.908, -2.947, -1.363], [-4.764, -4.260, 6.036]],
  "species": ["Cl", "Fe", "Fe", "Cl", "Fe", "Cl", "Fe", "Cl", "Fe", "Cl", "Fe", "Cl", "Fe", "Cl", "Cl", "Fe"],
  "fractional_positions": [[0.486, 0.000, 0.055], [0.378, 0.000, 0.857], [0.878, 0.500, 0.143], [0.734, 0.000, 0.739], [0.563, 0.000, 0.823], [0.514, 0.500, 0.445], [0.063, 0.500, 0.177], [0.986, 0.500, 0.945], [0.437, 0.500, 0.677], [0.266, 0.500, 0.761], [0.937, 0.000, 0.323], [0.766, 0.000, 0.239], [0.622, 0.500, 0.643], [0.014, 0.000, 0.555], [0.234, 0.500, 0.261], [0.122, 0.000, 0.357]],
  "e_form_raw_ev_per_atom": -0.306,
  "dos_ef_per_ev_cell": 6.3,
  "magmom_total_mub_per_fu": 2.999
}



{
  "formula": "FeCl2",
  "functional": "PBE",
  "state": "optimized geometry",
  "lattice": [[2.015, -3.490, 0.000], [2.015, 3.490, 0.000], [0.000, 0.000, 8.954]],
  "species": ["Cl", "Fe", "Fe", "Cl", "Cl", "Cl"],
  "fractional_positions": [[0.667, 0.333, 0.250], [0.667, 0.333, 0.750], [0.333, 0.667, 0.250], [0.000, 0.000, 0.000], [0.333, 0.667, 0.750], [0.000, 0.000, 0.500]],
  "e_form_raw_ev_per_atom": -0.170,
  "dos_ef_per_ev_cell": 6.9,
  "magmom_total_mub_per_fu": 4.000
}



{
  "formula": "Fe5Cl",
  "functional": "PBE",
  "state": "optimized geometry",
  "lattice": [[0.679, -3.483, 3.241], [2.894, -3.577, 1.386], [3.647, 2.358, 4.234]],
  "species": ["Fe", "Fe", "Fe", "Fe", "Cl", "Fe"],
  "fractional_positions": [[0.629, 0.629, 0.244], [0.966, 0.966, 0.562], [0.293, 0.293, 0.406], [0.305, 0.305, 0.885], [0.993, 0.993, 0.026], [0.646, 0.646, 0.710]],
  "e_form_raw_ev_per_atom": 0.330,
  "dos_ef_per_ev_cell": 4.8,
  "magmom_total_mub_per_fu": 13.214
}



{
  "formula": "Fe2Cl",
  "functional": "PBE",
  "state": "optimized geometry",
  "lattice": [[1.482, 5.704, -0.025], [-1.482, 5.704, -0.025], [0.000, 3.286, 5.579]],
  "species": ["Cl", "Fe", "Cl", "Fe", "Fe", "Fe"],
  "fractional_positions": [[0.555, 0.555, 0.207], [0.751, 0.751, 0.821], [0.445, 0.445, 0.793], [0.844, 0.844, 0.354], [0.249, 0.249, 0.179], [0.156, 0.156, 0.646]],
  "e_form_raw_ev_per_atom": 0.259,
  "dos_ef_per_ev_cell": 3.7,
  "magmom_total_mub_per_fu": 5.780
}



{
  "formula": "FeCl",
  "functional": "PBE",
  "state": "optimized geometry",
  "lattice": [[-2.699, -1.637, -2.328], [1.149, -1.841, 3.268], [-3.577, 2.281, 2.542]],
  "species": ["Fe", "Fe", "Cl", "Cl"],
  "fractional_positions": [[0.000, 0.000, 0.000], [0.000, 0.000, 0.500], [0.333, 0.667, 0.250], [0.667, 0.333, 0.750]],
  "e_form_raw_ev_per_atom": 0.125,
  "dos_ef_per_ev_cell": 3.0,
  "magmom_total_mub_per_fu": 3.005
}



{
  "formula": "FeCl",
  "functional": "PBE",
  "state": "optimized geometry",
  "lattice": [[-2.862, 2.095, -0.480], [-2.292, -0.684, -2.662], [-3.274, -1.247, 0.734]],
  "species": ["Cl", "Fe"],
  "fractional_positions": [[0.000, 0.000, 0.000], [0.500, 0.500, 0.500]],
  "e_form_raw_ev_per_atom": 0.362,
  "dos_ef_per_ev_cell": 3.8,
  "magmom_total_mub_per_fu": 3.019
}



{
  "formula": "Fe3Cl",
  "functional": "PBE",
  "state": "optimized geometry",
  "lattice": [[4.972, -0.139, 0.012], [2.342, 4.388, -0.012], [-3.148, -3.001, 2.413]],
  "species": ["Fe", "Fe", "Fe", "Cl"],
  "fractional_positions": [[0.250, 0.750, 0.500], [0.750, 0.250, 0.500], [0.500, 0.500, 0.000], [0.000, 0.000, 0.000]],
  "e_form_raw_ev_per_atom": 0.533,
  "dos_ef_per_ev_cell": 3.7,
  "magmom_total_mub_per_fu": 8.235
}



{
  "formula": "Fe8Cl",
  "functional": "PBE",
  "state": "optimized geometry",
  "lattice": [[5.555, 0.343, 3.140], [-6.339, -0.709, -0.383], [1.117, -5.969, -1.988]],
  "species": ["Fe", "Cl", "Fe", "Fe", "Fe", "Fe", "Fe", "Fe", "Fe"],
  "fractional_positions": [[0.326, 0.674, 0.000], [0.000, 0.000, 0.000], [0.338, 0.000, 0.338], [0.000, 0.338, 0.338], [0.674, 0.674, 0.349], [0.662, 0.000, 0.662], [0.674, 0.326, 0.000], [0.000, 0.662, 0.662], [0.326, 0.326, 0.651]],
  "e_form_raw_ev_per_atom": 0.224,
  "dos_ef_per_ev_cell": 8.9,
  "magmom_total_mub_per_fu": 20.775
}



{
  "formula": "FeCl",
  "functional": "PBE",
  "state": "optimized geometry",
  "lattice": [[7.396, 0.000, 0.000], [0.000, 7.396, 0.000], [0.000, 0.000, 7.396]],
  "species": ["Fe", "Cl", "Fe", "Fe", "Cl", "Cl", "Fe", "Cl", "Fe", "Fe", "Cl", "Cl", "Fe", "Fe", "Cl", "Cl"],
  "fractional_positions": [[0.615, 0.385, 0.615], [0.201, 0.201, 0.201], [0.385, 0.615, 0.615], [0.115, 0.885, 0.115], [0.701, 0.299, 0.299], [0.299, 0.701, 0.299], [0.615, 0.615, 0.385], [0.799, 0.799, 0.201], [0.885, 0.885, 0.885], [0.885, 0.115, 0.115], [0.799, 0.201, 0.799], [0.701, 0.701, 0.701], [0.115, 0.115, 0.885], [0.385, 0.385, 0.385], [0.299, 0.299, 0.701], [0.201, 0.799, 0.799]],
  "e_form_raw_ev_per_atom": -0.092,
  "dos_ef_per_ev_cell": 16.6,
  "magmom_total_mub_per_fu": 3.035
}



{
  "formula": "Fe5Cl3",
  "functional": "PBE",
  "state": "optimized geometry",
  "lattice": [[7.834, -0.311, -0.166], [-4.903, 6.628, 0.410], [-1.645, -3.003, 5.204]],
  "species": ["Fe", "Cl", "Fe", "Cl", "Fe", "Fe", "Fe", "Cl", "Fe", "Fe", "Fe", "Fe", "Cl", "Cl", "Cl", "Fe"],
  "fractional_positions": [[0.419, 0.043, 0.683], [0.291, 0.191, 0.458], [0.178, 0.417, 0.522], [0.595, 0.699, 0.931], [0.467, 0.070, 0.302], [0.332, 0.767, 0.854], [0.947, 0.583, 0.478], [0.107, 0.331, 0.048], [0.792, 0.233, 0.146], [0.864, 0.305, 0.660], [0.657, 0.930, 0.698], [0.705, 0.957, 0.317], [0.529, 0.302, 0.069], [0.833, 0.809, 0.542], [0.017, 0.668, 0.952], [0.260, 0.695, 0.340]],
  "e_form_raw_ev_per_atom": -0.104,
  "dos_ef_per_ev_cell": 7.8,
  "magmom_total_mub_per_fu": 14.892
}



{
  "formula": "FeCl",
  "functional": "PBE",
  "state": "optimized geometry",
  "lattice": [[-6.293, 3.914, 0.402], [-3.540, -6.466, 7.546], [3.145, 4.510, 5.339]],
  "species": ["Cl", "Cl", "Cl", "Fe", "Fe", "Fe", "Cl", "Cl", "Fe", "Fe", "Cl", "Cl", "Cl", "Fe", "Cl", "Fe", "Cl", "Fe", "Fe", "Fe", "Fe", "Fe", "Fe", "Cl", "Cl", "Cl", "Cl", "Fe", "Cl", "Fe", "Cl", "Fe"],
  "fractional_positions": [[0.222, 0.000, 0.000], [0.972, 0.750, 0.750], [0.028, 0.250, 0.750], [0.500, 0.612, 0.500], [0.500, 0.888, 0.000], [0.750, 0.638, 0.250], [0.778, 0.500, 0.500], [0.972, 0.250, 0.250], [0.000, 0.112, 0.500], [0.250, 0.862, 0.750], [0.222, 0.500, 0.500], [0.028, 0.750, 0.250], [0.472, 0.750, 0.250], [0.000, 0.388, 0.000], [0.278, 0.500, 0.000], [0.250, 0.138, 0.250], [0.528, 0.250, 0.250], [0.250, 0.638, 0.750], [0.000, 0.888, 0.500], [0.750, 0.862, 0.250], [0.000, 0.612, 0.000], [0.500, 0.388, 0.500], [0.750, 0.138, 0.750], [0.722, 0.500, 0.000], [0.278, 0.000, 0.500], [0.722, 0.000, 0.500], [0.778, 0.000, 0.000], [0.500, 0.112, 0.000], [0.528, 0.750, 0.750], [0.250, 0.362, 0.250], [0.472, 0.250, 0.750], [0.750, 0.362, 0.750]],
  "e_form_raw_ev_per_atom": -0.059,
  "dos_ef_per_ev_cell": 14.5,
  "magmom_total_mub_per_fu": 3.006
}



{
  "formula": "FeCl5",
  "functional": "PBE",
  "state": "optimized geometry",
  "lattice": [[3.415, 0.000, -0.890], [0.000, 4.815, 0.000], [-1.118, 0.000, 11.728]],
  "species": ["Cl", "Fe", "Cl", "Cl", "Cl", "Cl"],
  "fractional_positions": [[0.378, 0.500, 0.462], [0.052, 0.500, 0.611], [0.720, 0.500, 0.761], [0.986, 0.000, 0.022], [0.048, 0.000, 0.611], [0.149, 0.000, 0.201]],
  "e_form_raw_ev_per_atom": -0.396,
  "dos_ef_per_ev_cell": 2.7,
  "magmom_total_mub_per_fu": 4.879
}